Model a:
Crystalline TlB2W2 at its relaxed geometry, computed with PBE.

Output
Magnetic moment, μB per formula unit: 0.00

a b c (Å): 6.942 6.942 3.104
angles (deg): 90.00 90.00 90.00
Fractional positions:
B (0.399, 0.101, 0.500)
B (0.899, 0.399, 0.500)
B (0.101, 0.601, 0.500)
B (0.601, 0.899, 0.500)
W (0.635, 0.135, 0.000)
W (0.865, 0.635, 0.000)
W (0.135, 0.365, 0.000)
W (0.365, 0.865, 0.000)
Tl (0.500, 0.500, 0.000)
Tl (0.000, 0.000, 0.000)


Model b:
Crystalline TlB2W2 at its relaxed geometry, computed with PBE.

Output
Magnetic moment, μB per formula unit: 0.00

a b c (Å): 4.064 4.064 5.288
angles (deg): 67.40 67.40 90.00
Fractional positions:
B (0.750, 0.250, 0.500)
B (0.250, 0.750, 0.500)
W (0.652, 0.652, 0.695)
W (0.348, 0.348, 0.305)
Tl (0.000, 0.000, 0.000)


model b (86 meV per atom below the next structure)


Model a:
Crystalline YTl2B at its relaxed geometry, computed with PBE.

Output
Magnetic moment, μB per formula unit: 0.00

a b c (Å): 5.114 5.114 5.114
angles (deg): 60.00 60.00 60.00
Fractional positions:
B (0.000, 0.000, 0.000)
Tl (0.750, 0.750, 0.750)
Tl (0.250, 0.250, 0.250)
Y (0.500, 0.500, 0.500)


Model b:
Crystalline YTl2B at its relaxed geometry, computed with PBE.

Output
Magnetic moment, μB per formula unit: 0.00

a b c (Å): 8.059 8.059 6.340
angles (deg): 50.53 50.53 90.00
Fractional positions:
Tl (0.542, 0.125, 0.250)
Tl (0.208, 0.625, 0.250)
Tl (0.875, 0.792, 0.750)
Tl (0.375, 0.458, 0.750)
Y (0.750, 0.250, 0.500)
Y (0.000, 0.000, 0.000)
B (0.500, 0.500, 0.000)
B (0.250, 0.750, 0.500)


model b (443 meV per atom below the next structure)


Model a:
Crystalline ZrTl3B at its relaxed geometry, computed with PBE.

Output
Magnetic moment, μB per formula unit: 0.00

a b c (Å): 4.890 4.890 4.890
angles (deg): 90.00 90.00 90.00
Fractional positions:
Zr (0.500, 0.500, 0.500)
B (0.000, 0.000, 0.000)
Tl (0.000, 0.000, 0.500)
Tl (0.000, 0.500, 0.000)
Tl (0.500, 0.000, 0.000)


Model b:
Crystalline ZrTl3B at its relaxed geometry, computed with PBE.

Output
Magnetic moment, μB per formula unit: 0.00

a b c (Å): 5.661 5.661 5.661
angles (deg): 90.00 90.00 90.00
Fractional positions:
B (0.500, 0.500, 0.500)
Tl (0.500, 0.000, 0.000)
Tl (0.000, 0.500, 0.000)
Tl (0.000, 0.000, 0.500)
Zr (0.000, 0.000, 0.000)


model a (532 meV per atom below the next structure)


Model a:
Crystalline ZrTlB3 at its relaxed geometry, computed with PBE.

Output
Magnetic moment, μB per formula unit: 0.00

a b c (Å): 4.612 4.612 4.612
angles (deg): 90.00 90.00 90.00
Fractional positions:
Zr (0.000, 0.000, 0.000)
B (0.000, 0.500, 0.000)
B (0.500, 0.000, 0.000)
B (0.000, 0.000, 0.500)
Tl (0.500, 0.500, 0.500)


Model b:
Crystalline ZrTlB3 at its relaxed geometry, computed with PBE.

Output
Magnetic moment, μB per formula unit: 0.00

a b c (Å): 4.388 4.388 4.388
angles (deg): 90.00 90.00 90.00
Fractional positions:
B (0.500, 0.000, 0.000)
B (0.000, 0.500, 0.000)
B (0.000, 0.000, 0.500)
Zr (0.500, 0.500, 0.500)
Tl (0.000, 0.000, 0.000)


model a (522 meV per atom below the next structure)


Model a:
Crystalline Zr2TlB at its relaxed geometry, computed with PBE.

Output
Magnetic moment, μB per formula unit: 0.01

a b c (Å): 4.747 4.747 4.747
angles (deg): 60.00 60.00 60.00
Fractional positions:
B (0.000, 0.000, 0.000)
Zr (0.750, 0.750, 0.750)
Zr (0.250, 0.250, 0.250)
Tl (0.500, 0.500, 0.500)


Model b:
Crystalline Zr2TlB at its relaxed geometry, computed with PBE.

Output
Magnetic moment, μB per formula unit: 0.00

a b c (Å): 3.475 3.475 7.925
angles (deg): 77.34 77.34 60.00
Fractional positions:
B (0.000, 0.000, 0.000)
Tl (0.500, 0.500, 0.500)
Zr (0.723, 0.723, 0.831)
Zr (0.277, 0.277, 0.169)


model b (866 meV per atom below the next structure)


Model a:
Crystalline ZrTl2B at its relaxed geometry, computed with PBE.

Output
Magnetic moment, μB per formula unit: 0.00

a b c (Å): 7.925 7.925 6.191
angles (deg): 50.21 50.21 90.00
Fractional positions:
Tl (0.375, 0.457, 0.750)
Tl (0.207, 0.625, 0.250)
Tl (0.543, 0.125, 0.250)
Tl (0.875, 0.793, 0.750)
Zr (0.000, 0.000, 0.000)
Zr (0.750, 0.250, 0.500)
B (0.250, 0.750, 0.500)
B (0.500, 0.500, 0.000)


Model b:
Crystalline ZrTl2B at its relaxed geometry, computed with PBE.

Output
Magnetic moment, μB per formula unit: 0.00

a b c (Å): 4.988 4.988 4.988
angles (deg): 60.00 60.00 60.00
Fractional positions:
Zr (0.500, 0.500, 0.500)
B (0.000, 0.000, 0.000)
Tl (0.750, 0.750, 0.750)
Tl (0.250, 0.250, 0.250)


model a (532 meV per atom below the next structure)


Model a:
Crystalline TmB4 at its relaxed geometry, computed with PBE.

Output
Magnetic moment, μB per formula unit: 0.00

a b c (Å): 7.056 7.056 3.983
angles (deg): 90.00 90.00 90.00
Fractional positions:
B (0.539, 0.323, 0.500)
B (0.961, 0.823, 0.500)
B (0.461, 0.677, 0.500)
B (0.587, 0.087, 0.500)
B (0.039, 0.177, 0.500)
B (0.177, 0.961, 0.500)
B (0.413, 0.913, 0.500)
B (0.677, 0.539, 0.500)
B (0.323, 0.461, 0.500)
B (0.823, 0.039, 0.500)
B (0.087, 0.413, 0.500)
B (0.000, 0.000, 0.203)
B (0.500, 0.500, 0.797)
B (0.500, 0.500, 0.203)
B (0.913, 0.587, 0.500)
B (0.000, 0.000, 0.797)
Tm (0.681, 0.819, 0.000)
Tm (0.319, 0.181, 0.000)
Tm (0.181, 0.681, 0.000)
Tm (0.819, 0.319, 0.000)


Model b:
Crystalline TmB4 at its relaxed geometry, computed with PBE.

Output
Magnetic moment, μB per formula unit: 0.00

a b c (Å): 4.698 4.698 4.698
angles (deg): 90.00 90.00 90.00
Fractional positions:
B (0.000, 0.000, 0.000)
B (0.500, 0.000, 0.500)
B (0.000, 0.500, 0.500)
B (0.500, 0.500, 0.000)
Tm (0.500, 0.500, 0.500)


model a (3658 meV per atom below the next structure)


Model a:
Crystalline V2B2W at its relaxed geometry, computed with PBE.

Output
Magnetic moment, μB per formula unit: 0.00

a b c (Å): 6.614 6.614 2.530
angles (deg): 90.00 90.00 90.00
Fractional positions:
V (0.126, 0.374, 0.000)
V (0.626, 0.126, 0.000)
V (0.374, 0.874, 0.000)
V (0.874, 0.626, 0.000)
B (0.327, 0.173, 0.500)
B (0.827, 0.327, 0.500)
B (0.673, 0.827, 0.500)
B (0.173, 0.673, 0.500)
W (0.000, 0.000, 0.000)
W (0.500, 0.500, 0.000)


Model b:
Crystalline V2B2W at its relaxed geometry, computed with PBE.

Output
Magnetic moment, μB per formula unit: 0.00

a b c (Å): 2.894 2.894 15.206
angles (deg): 90.00 90.00 120.00
Fractional positions:
W (0.333, 0.667, 0.250)
W (0.667, 0.333, 0.750)
V (0.000, 0.000, 0.901)
V (0.000, 0.000, 0.401)
V (0.000, 0.000, 0.099)
V (0.000, 0.000, 0.599)
B (0.667, 0.333, 0.499)
B (0.667, 0.333, 0.001)
B (0.333, 0.667, 0.501)
B (0.333, 0.667, 0.999)


model b (687 meV per atom below the next structure)


Model a:
Crystalline V3BW at its relaxed geometry, computed with PBE.

Output
Magnetic moment, μB per formula unit: 0.00

a b c (Å): 4.724 8.107 6.720
angles (deg): 90.00 90.00 90.00
Fractional positions:
W (0.797, 0.359, 0.250)
W (0.703, 0.859, 0.750)
W (0.297, 0.141, 0.250)
W (0.203, 0.641, 0.750)
V (0.312, 0.322, 0.936)
V (0.725, 0.466, 0.750)
V (0.775, 0.966, 0.250)
V (0.188, 0.822, 0.064)
V (0.688, 0.678, 0.064)
V (0.225, 0.034, 0.750)
V (0.688, 0.678, 0.436)
V (0.312, 0.322, 0.564)
V (0.188, 0.822, 0.436)
V (0.812, 0.178, 0.936)
V (0.275, 0.534, 0.250)
V (0.812, 0.178, 0.564)
B (0.500, 0.000, 0.500)
B (0.500, 0.000, 0.000)
B (0.000, 0.500, 0.000)
B (0.000, 0.500, 0.500)


Model b:
Crystalline V3BW at its relaxed geometry, computed with PBE.

Output
Magnetic moment, μB per formula unit: 0.00

a b c (Å): 4.531 4.531 4.531
angles (deg): 90.00 90.00 90.00
Fractional positions:
V (0.000, 0.500, 0.000)
V (0.500, 0.000, 0.000)
V (0.000, 0.000, 0.500)
B (0.500, 0.500, 0.500)
W (0.000, 0.000, 0.000)


model a (2123 meV per atom below the next structure)


Model a:
Crystalline ZrVB2 at its relaxed geometry, computed with PBE.

Output
Magnetic moment, μB per formula unit: 0.00

a b c (Å): 4.681 4.681 6.494
angles (deg): 68.87 68.87 90.00
Fractional positions:
Zr (0.000, 0.000, 0.000)
Zr (0.750, 0.250, 0.500)
V (0.500, 0.500, 0.000)
V (0.250, 0.750, 0.500)
B (0.564, 0.125, 0.250)
B (0.875, 0.814, 0.750)
B (0.375, 0.436, 0.750)
B (0.186, 0.625, 0.250)


Model b:
Crystalline ZrVB2 at its relaxed geometry, computed with PBE.

Output
Magnetic moment, μB per formula unit: 2.16

a b c (Å): 4.060 4.060 4.060
angles (deg): 60.00 60.00 60.00
Each line ends with the local moment (μB).
Fractional positions:
V (0.000, 0.000, 0.000)  1.66
Zr (0.500, 0.500, 0.500)  0.11
B (0.250, 0.250, 0.250)  0.03
B (0.750, 0.750, 0.750)  0.03


Model c:
Crystalline ZrVB2 at its relaxed geometry, computed with PBE.

Output
Magnetic moment, μB per formula unit: 0.07

a b c (Å): 3.314 5.740 9.802
angles (deg): 90.00 90.00 90.00
Fractional positions:
B (0.250, 0.218, 0.176)
B (0.750, 0.469, 0.823)
B (0.250, 0.531, 0.177)
B (0.750, 0.282, 0.676)
B (0.750, 0.969, 0.677)
B (0.750, 0.782, 0.824)
B (0.250, 0.718, 0.324)
B (0.250, 0.031, 0.323)
Zr (0.250, 0.620, 0.648)
Zr (0.750, 0.380, 0.352)
Zr (0.750, 0.880, 0.148)
Zr (0.250, 0.120, 0.852)
V (0.250, 0.631, 0.947)
V (0.750, 0.369, 0.053)
V (0.750, 0.869, 0.447)
V (0.250, 0.131, 0.553)


model c (739 meV per atom below the next structure)


Model a:
Crystalline Zr3VB at its relaxed geometry, computed with PBE.

Output
Magnetic moment, μB per formula unit: 0.00

a b c (Å): 4.758 4.758 4.758
angles (deg): 90.00 90.00 90.00
Fractional positions:
Zr (0.500, 0.000, 0.000)
Zr (0.000, 0.500, 0.000)
Zr (0.000, 0.000, 0.500)
V (0.000, 0.000, 0.000)
B (0.500, 0.500, 0.500)


Model b:
Crystalline Zr3VB at its relaxed geometry, computed with PBE.

Output
Magnetic moment, μB per formula unit: 2.72

a b c (Å): 4.639 4.639 4.639
angles (deg): 90.00 90.00 90.00
Each line ends with the local moment (μB).
Fractional positions:
Zr (0.000, 0.500, 0.000)  -0.02
Zr (0.000, 0.000, 0.500)  -0.02
Zr (0.500, 0.000, 0.000)  -0.02
B (0.000, 0.000, 0.000)  0.04
V (0.500, 0.500, 0.500)  2.25


model b (1195 meV per atom below the next structure)


Model a:
Crystalline B5W2 at its relaxed geometry, computed with PBE.

Output
Magnetic moment, μB per formula unit: 0.00

a b c (Å): 7.414 7.414 7.414
angles (deg): 24.06 24.06 24.06
Fractional positions:
W (0.924, 0.924, 0.924)
W (0.076, 0.076, 0.076)
B (0.185, 0.185, 0.185)
B (0.331, 0.331, 0.331)
B (0.669, 0.669, 0.669)
B (0.815, 0.815, 0.815)
B (0.500, 0.500, 0.500)


Model b:
Crystalline B5W2 at its relaxed geometry, computed with PBE.

Output
Magnetic moment, μB per formula unit: 0.00

a b c (Å): 3.112 3.112 14.206
angles (deg): 90.00 90.00 120.00
Fractional positions:
B (0.667, 0.333, 0.028)
B (0.000, 0.000, 0.250)
B (0.667, 0.333, 0.250)
B (0.333, 0.667, 0.528)
B (0.333, 0.667, 0.972)
B (0.000, 0.000, 0.750)
B (0.000, 0.000, 0.500)
B (0.333, 0.667, 0.750)
B (0.667, 0.333, 0.472)
B (0.000, 0.000, 0.000)
W (0.333, 0.667, 0.363)
W (0.333, 0.667, 0.137)
W (0.667, 0.333, 0.863)
W (0.667, 0.333, 0.637)


model a (42 meV per atom below the next structure)